# 1
Material: Cs2NiTe
Method: DFT, PBE-GGA
State: optimized geometry

For the calculated total energy, the calculation gives -2.455 eV/atom. The formation energy (no corrections) is 0.20 eV/atom.

The structure belongs to space group Fm-3m (No. 225); the cell edges are 8.920, 8.920 and 8.920 Å and the angles 90.00°, 90.00° and 90.00°. The asymmetric unit holds Cs at (0.250, 0.250, 0.250), Ni at (0.000, 0.000, 0.000) and Te at (0.000, 0.000, 0.500).

***

# 2
Material: CsNi4Te8
Method: DFT, PBE-GGA
State: optimized geometry

For the calculated total energy, the calculation gives -4.047 eV/atom. The formation energy (no corrections) is -0.27 eV/atom.

The structure belongs to space group C2/m (No. 12); the cell edges are 17.548, 3.946 and 12.514 Å and the angles 90.00°, 128.75° and 90.00°. The asymmetric unit holds Cs at (0.000, 0.000, 0.000), Ni at (0.140, 0.000, 0.472), Ni at (0.165, 0.500, 0.825), Te at (0.043, 0.000, 0.746), Te at (0.112, 0.500, 0.578), Te at (0.167, 0.500, 0.358) and Te at (0.214, 0.500, 0.075).

***

# 3
Material: CsThNiTe3
Method: DFT, PBE-GGA
State: optimized geometry

For the calculated total energy, the calculation gives -4.845 eV/atom. The formation energy (no corrections) is -0.93 eV/atom.

The structure belongs to space group P2_1/m (No. 11); the cell edges are 10.420, 4.397 and 10.726 Å and the angles 90.00°, 111.75° and 90.00°. The asymmetric unit holds Cs at (0.214, 0.250, 0.263), Th at (0.308, 0.750, 0.842), Ni at (0.102, 0.250, 0.631), Te at (0.113, 0.250, 0.876), Te at (0.154, 0.750, 0.533) and Te at (0.472, 0.750, 0.164).

***

# 4
Material: CsTiNiTe3
Method: DFT, PBE-GGA
State: optimized geometry

For the calculated total energy, the calculation gives -4.687 eV/atom. The formation energy (no corrections) is -0.69 eV/atom.

The structure belongs to space group P2_1/m (No. 11); the cell edges are 10.092, 3.930 and 10.514 Å and the angles 90.00°, 116.46° and 90.00°. The asymmetric unit holds Cs at (0.007, 0.250, 0.257), Ti at (0.469, 0.250, 0.175), Ni at (0.484, 0.750, 0.395), Te at (0.266, 0.750, 0.150), Te at (0.338, 0.750, 0.543) and Te at (0.349, 0.250, 0.867).

***

# 5
Material: CsUNiTe3
Method: DFT, PBE-GGA
State: optimized geometry

For the calculated total energy, the calculation gives -5.229 eV/atom. The formation energy (no corrections) is -0.67 eV/atom.

The structure belongs to space group P2_1/m (No. 11); the cell edges are 10.520, 4.254 and 10.709 Å and the angles 90.00°, 115.53° and 90.00°. The asymmetric unit holds Cs at (0.219, 0.250, 0.252), U at (0.312, 0.750, 0.841), Ni at (0.090, 0.250, 0.604), Te at (0.117, 0.250, 0.857), Te at (0.179, 0.750, 0.532) and Te at (0.475, 0.750, 0.161).

***

# 6
Material: CsZrNiTe4
Method: DFT, PBE-GGA
State: optimized geometry

For the calculated total energy, the calculation gives -4.572 eV/atom. The formation energy (no corrections) is -0.61 eV/atom.

The structure belongs to space group P2_1/m (No. 11); the cell edges are 7.084, 6.353 and 10.623 Å and the angles 90.00°, 108.03° and 90.00°. The asymmetric unit holds Cs at (0.201, 0.250, 0.041), Zr at (0.270, 0.250, 0.558), Ni at (0.282, 0.750, 0.342), Te at (0.001, 0.001, 0.675), Te at (0.433, 0.750, 0.587) and Te at (0.458, 0.750, 0.174).

***

# 7
Material: CsTi3Ni
Method: DFT, PBE-GGA
State: optimized geometry

For the calculated total energy, the calculation gives -5.211 eV/atom. As for the energy relative to the elements: 0.8532 eV per atom. The energy relative to the lowest polymorph listed for this composition comes out at 0.0 meV per atom.

The structure belongs to space group Pm-3m (No. 221); the cell edges are 4.814, 4.814 and 4.814 Å and the angles 90.00°, 90.00° and 90.00°. The asymmetric unit holds Cs at (0.000, 0.000, 0.000), Ti at (0.000, 0.500, 0.500) and Ni at (0.500, 0.500, 0.500).

***

# 8
Material: CsTi4Ni2
Method: DFT, PBE-GGA
State: optimized geometry

For the calculated total energy, the calculation gives -4.867 eV/atom. As for the energy relative to the elements: 1.4179 eV per atom.

The structure belongs to space group I4/mmm (No. 139); the cell edges are 4.894, 4.894 and 12.255 Å and the angles 90.00°, 90.00° and 90.00°. The asymmetric unit holds Cs at (0.000, 0.000, 0.000), Ti at (0.000, 0.000, 0.224), Ti at (0.000, 0.500, 0.000) and Ni at (0.000, 0.000, 0.403).

***

What is the formula in the second record? CsNi4Te8